# 1
{"formula": "LiY2AuO", "functional": "PBE", "state": "relaxed", "lattice": [[4.831, 0.000, 0.000], [0.000, 4.831, 0.000], [0.000, 0.000, 3.911]], "species": ["Li", "Y", "Y", "Au", "O"], "fractional_positions": [[0.000, 0.000, 0.000], [0.000, 0.500, 0.500], [0.500, 0.000, 0.500], [0.500, 0.500, 0.000], [0.000, 0.000, 0.500]], "raw_formation_energy_ev_per_atom": -1.53}

***

# 2
{"formula": "BaLiHg2", "functional": "PBE", "state": "relaxed", "lattice": [[7.916, 0.000, 0.000], [0.000, 5.129, 0.000], [0.000, 0.000, 11.634]], "species": ["Ba", "Ba", "Ba", "Ba", "Li", "Li", "Li", "Li", "Hg", "Hg", "Hg", "Hg", "Hg", "Hg", "Hg", "Hg"], "fractional_positions": [[0.170, 0.250, 0.134], [0.330, 0.750, 0.634], [0.670, 0.250, 0.366], [0.830, 0.750, 0.866], [0.036, 0.750, 0.398], [0.464, 0.250, 0.898], [0.536, 0.750, 0.102], [0.964, 0.250, 0.602], [0.136, 0.250, 0.811], [0.204, 0.250, 0.434], [0.296, 0.750, 0.934], [0.364, 0.750, 0.311], [0.636, 0.250, 0.689], [0.704, 0.250, 0.066], [0.796, 0.750, 0.566], [0.864, 0.750, 0.189]], "energy_ev_per_atom": -1.535}

***

# 3
{"formula": "Sc2AgGe2", "functional": "PBE", "state": "relaxed", "lattice": [[6.877, 0.000, 0.000], [0.000, 6.877, 0.000], [0.000, 0.000, 4.015]], "species": ["Sc", "Sc", "Sc", "Sc", "Ag", "Ag", "Ge", "Ge", "Ge", "Ge"], "fractional_positions": [[0.173, 0.327, 0.000], [0.327, 0.827, 0.000], [0.673, 0.173, 0.000], [0.827, 0.673, 0.000], [0.000, 0.000, 0.500], [0.500, 0.500, 0.500], [0.129, 0.629, 0.500], [0.371, 0.129, 0.500], [0.629, 0.871, 0.500], [0.871, 0.371, 0.500]], "relative_energy_ev_per_fu": 0.00}

***

We obtain theoretical density values of 7.2; 7.7; 6.0 Mg/m³ for the records listed above, in that order.